# CePuCdIn

Crystalline CePuCdIn at its relaxed geometry (PBE-GGA, Alexandria).

Geometry as extended XYZ:
```
4
Lattice="4.5302 0.0000 0.0000 0.0000 4.5398 0.0000 0.0000 0.0000 4.9673" Properties=species:S:1:pos:R:3 pbc="T T T"
Pu 0.0000 2.2699 2.4837
Cd 0.0000 0.0000 0.0000
In 2.2651 2.2699 0.0000
Ce 2.2651 0.0000 2.4837
```

Output
polymorph energy (0 for the lowest one) = 0.000 eV/atom
energy of formation = -0.206 eV per atom
E_tot = -24.74 eV for the cell shown
size of the total moment = 1.769 μB per atom